Record 1
Material: Ta4InFeN2
Method: DFT, PBE-GGA
State: relaxed

Lattice parameters (Å, degrees): 3.0861 3.0861 13.8219 90.00 90.00 120.00
Closest atoms and distances in Å follow each position.
Positions (direct):
Ta1 0.0000 0.0000 0.1418  3 N 2.17
Ta2 0.0000 0.0000 0.8582  3 N 2.17
Ta3 0.3333 0.6667 0.3224  3 N 2.18
Ta4 0.3333 0.6667 0.6776  3 N 2.18
In1 0.0000 0.0000 0.5000  6 Ta 3.03, 6 In 3.09
Fe1 0.3333 0.6667 0.0000  6 Ta 2.65
N1 0.6667 0.3333 0.2312  6 Ta 2.17-2.18
N2 0.6667 0.3333 0.7688  6 Ta 2.17-2.18

Record 2
Material: InFeW4N2
Method: DFT, PBE-GGA
State: relaxed

Lattice parameters (Å, degrees): 2.8647 2.8647 14.9017 90.00 90.00 120.00
Closest atoms and distances in Å follow each position.
Positions (direct):
In1 0.0000 0.0000 0.0000  6 In 2.86, 6 W 2.99
Fe1 0.6667 0.3333 0.5000  6 W 2.67, 6 Fe 2.86
W1 0.0000 0.0000 0.3591  3 N 2.20
W2 0.0000 0.0000 0.6409  3 N 2.20
W3 0.6667 0.3333 0.1668  3 N 2.17
W4 0.6667 0.3333 0.8332  3 N 2.17
N1 0.3333 0.6667 0.2614  6 W 2.17-2.20
N2 0.3333 0.6667 0.7386  6 W 2.17-2.20

E_tot: -9.84 -9.67 (eV per atom)